Record 1
Material: LaTl2Fe
Method: DFT, PBE
State: relaxed

Properties
calculated volume	26.2	Å³/atom
ΔH_f (0 K)	100	meV/atom
total magnetization	2.53	μB per cell
symmetry	No. 12

Unit cell a=4.683 b=4.683 c=6.203 alpha=111.43 beta=111.43 gamma=58.05
Fractional positions:
1 La 0.000 0.000 0.000
2 Tl 0.220 0.220 0.664
3 Tl 0.780 0.780 0.336
4 Fe 0.500 0.500 0.500


Record 2
Material: LaTl2Fe
Method: DFT, PBE
State: relaxed

Properties
calculated volume	25.3	Å³/atom
ΔH_f (0 K)	250	meV/atom
total magnetization	2.57	μB per cell
symmetry	No. 216

Unit cell a=5.233 b=5.233 c=5.233 alpha=60.00 beta=60.00 gamma=60.00
Fractional positions:
1 La 0.000 0.000 0.000
2 Tl 0.500 0.500 0.500
3 Tl 0.750 0.750 0.750
4 Fe 0.250 0.250 0.250


Record 3
Material: La2TlFe
Method: DFT, PBE
State: relaxed

Properties
calculated volume	26.6	Å³/atom
ΔH_f (0 K)	117	meV/atom
total magnetization	2.09	μB per cell
symmetry	No. 119

Unit cell a=5.927 b=5.927 c=5.927 alpha=133.89 beta=133.89 gamma=67.26
Fractional positions:
1 La 0.000 0.000 0.000
2 La 0.750 0.250 0.500
3 Tl 0.250 0.750 0.500
4 Fe 0.500 0.500 0.000


Record 4
Material: LaTlFe3
Method: DFT, PBE
State: relaxed

Properties
calculated volume	21.6	Å³/atom
ΔH_f (0 K)	1540	meV/atom
total magnetization	6.06	μB per cell
symmetry	No. 221

Unit cell a=4.763 b=4.763 c=4.763 alpha=90.00 beta=90.00 gamma=90.00
Fractional positions:
1 La 0.000 0.000 0.000
2 Tl 0.500 0.500 0.500
3 Fe 0.000 0.000 0.500
4 Fe 0.000 0.500 0.000
5 Fe 0.500 0.000 0.000


Record 5
Material: LaTl2Fe
Method: DFT, PBE
State: relaxed

Properties
calculated volume	25.8	Å³/atom
ΔH_f (0 K)	226	meV/atom
total magnetization	2.55	μB per cell
symmetry	No. 119

Unit cell a=5.662 b=5.662 c=5.662 alpha=130.27 beta=130.27 gamma=72.97
Fractional positions:
1 La 0.000 0.000 0.000
2 Tl 0.250 0.750 0.500
3 Tl 0.500 0.500 0.000
4 Fe 0.750 0.250 0.500


Record 6
Material: LaY2TlFe
Method: DFT, PBE
State: relaxed

Properties
calculated volume	28.0	Å³/atom
ΔH_f (0 K)	-75	meV/atom
total magnetization	0.00	μB per cell
symmetry	No. 123

Unit cell a=5.299 b=5.299 c=4.992 alpha=90.00 beta=90.00 gamma=90.00
Fractional positions:
1 La 0.000 0.000 0.000
2 Y 0.000 0.500 0.500
3 Y 0.500 0.000 0.500
4 Tl 0.500 0.500 0.000
5 Fe 0.000 0.000 0.500


Record 7
Material: LaTm2Fe9
Method: DFT, PBE
State: relaxed

Properties
calculated volume	15.3	Å³/atom
ΔH_f (0 K)	-50	meV/atom
total magnetization	17.07	μB per cell
symmetry	No. 166

Unit cell a=8.626 b=8.626 c=8.626 alpha=34.44 beta=34.44 gamma=34.44
Fractional positions:
1 La 0.000 0.000 0.000
2 Tm 0.142 0.142 0.142
3 Tm 0.858 0.858 0.858
4 Fe 0.084 0.584 0.584
5 Fe 0.333 0.333 0.333
6 Fe 0.416 0.416 0.916
7 Fe 0.416 0.916 0.416
8 Fe 0.500 0.500 0.500
9 Fe 0.584 0.084 0.584
10 Fe 0.584 0.584 0.084
11 Fe 0.667 0.667 0.667
12 Fe 0.916 0.416 0.416


Record 8
Material: LaTm3Fe
Method: DFT, PBE
State: relaxed

Properties
calculated volume	28.9	Å³/atom
ΔH_f (0 K)	49	meV/atom
total magnetization	0.00	μB per cell
symmetry	No. 221

Unit cell a=5.245 b=5.245 c=5.245 alpha=90.00 beta=90.00 gamma=90.00
Fractional positions:
1 La 0.000 0.000 0.000
2 Tm 0.000 0.500 0.500
3 Tm 0.500 0.000 0.500
4 Tm 0.500 0.500 0.000
5 Fe 0.500 0.500 0.500


Record 9
Material: LaUFe4
Method: DFT, PBE
State: relaxed

Properties
calculated volume	15.8	Å³/atom
ΔH_f (0 K)	79	meV/atom
total magnetization	4.35	μB per cell
symmetry	No. 216

Unit cell a=5.115 b=5.115 c=5.115 alpha=60.00 beta=60.00 gamma=60.00
Fractional positions:
1 La 0.000 0.000 0.000
2 U 0.250 0.250 0.250
3 Fe 0.126 0.625 0.625
4 Fe 0.625 0.126 0.625
5 Fe 0.625 0.625 0.126
6 Fe 0.625 0.625 0.625


Record 10
Material: LaUFe
Method: DFT, PBE
State: relaxed

Properties
calculated volume	23.3	Å³/atom
ΔH_f (0 K)	72	meV/atom
total magnetization	3.94	μB per cell
symmetry	No. 14

Unit cell a=7.168 b=6.048 c=6.930 alpha=90.00 beta=111.59 gamma=90.00
Fractional positions:
1 La 0.130 0.122 0.353
2 La 0.130 0.378 0.853
3 La 0.870 0.622 0.147
4 La 0.870 0.878 0.647
5 U 0.443 0.683 0.304
6 U 0.443 0.817 0.804
7 U 0.557 0.183 0.196
8 U 0.557 0.317 0.696
9 Fe 0.264 0.600 0.542
10 Fe 0.264 0.900 0.042
11 Fe 0.736 0.100 0.958
12 Fe 0.736 0.400 0.458


Record 11
Material: LaU6Fe12
Method: DFT, PBE
State: relaxed

Properties
calculated volume	16.5	Å³/atom
ΔH_f (0 K)	131	meV/atom
total magnetization	0.00	μB per cell
symmetry	No. 166

Unit cell a=7.267 b=7.267 c=7.267 alpha=107.73 beta=107.73 gamma=107.73
Fractional positions:
1 La 0.000 0.000 0.000
2 U 0.219 0.219 0.563
3 U 0.219 0.563 0.219
4 U 0.437 0.781 0.781
5 U 0.563 0.219 0.219
6 U 0.781 0.437 0.781
7 U 0.781 0.781 0.437
8 Fe 0.087 0.418 0.418
9 Fe 0.151 0.500 0.849
10 Fe 0.151 0.849 0.500
11 Fe 0.418 0.087 0.418
12 Fe 0.418 0.418 0.087
13 Fe 0.500 0.151 0.849
14 Fe 0.500 0.849 0.151
15 Fe 0.582 0.582 0.913
16 Fe 0.582 0.913 0.582
17 Fe 0.849 0.151 0.500
18 Fe 0.849 0.500 0.151
19 Fe 0.913 0.582 0.582


Record 12
Material: LaV2Fe
Method: DFT, PBE
State: relaxed

Properties
calculated volume	15.5	Å³/atom
ΔH_f (0 K)	537	meV/atom
total magnetization	0.24	μB per cell
symmetry	No. 225

Unit cell a=4.443 b=4.443 c=4.443 alpha=60.00 beta=60.00 gamma=60.00
Fractional positions:
1 La 0.000 0.000 0.000
2 V 0.250 0.250 0.250
3 V 0.750 0.750 0.750
4 Fe 0.500 0.500 0.500


Record 13
Material: La2VFe
Method: DFT, PBE
State: relaxed

Properties
calculated volume	24.2	Å³/atom
ΔH_f (0 K)	683	meV/atom
total magnetization	8.54	μB per cell
symmetry	No. 122

Unit cell a=6.391 b=6.391 c=6.391 alpha=103.55 beta=103.55 gamma=122.09
Fractional positions:
1 La 0.067 0.125 0.442
2 La 0.375 0.933 0.058
3 La 0.683 0.625 0.558
4 La 0.875 0.317 0.942
5 V 0.250 0.750 0.500
6 V 0.500 0.500 0.000
7 Fe 0.000 0.000 0.000
8 Fe 0.750 0.250 0.500


Record 14
Material: La2VFe
Method: DFT, PBE
State: relaxed

Properties
calculated volume	24.2	Å³/atom
ΔH_f (0 K)	439	meV/atom
total magnetization	5.24	μB per cell
symmetry	No. 225

Unit cell a=5.151 b=5.151 c=5.151 alpha=60.00 beta=60.00 gamma=60.00
Fractional positions:
1 La 0.250 0.250 0.250
2 La 0.750 0.750 0.750
3 V 0.000 0.000 0.000
4 Fe 0.500 0.500 0.500


Record 15
Material: LaV2Fe
Method: DFT, PBE
State: relaxed

Properties
calculated volume	21.2	Å³/atom
ΔH_f (0 K)	751	meV/atom
total magnetization	0.01	μB per cell
symmetry	No. 141

Unit cell a=8.628 b=8.628 c=8.628 alpha=149.06 beta=149.06 gamma=44.33
Fractional positions:
1 La 0.375 0.625 0.750
2 La 0.625 0.375 0.250
3 V 0.000 0.000 0.000
4 V 0.000 0.000 0.500
5 V 0.000 0.500 0.000
6 V 0.500 0.000 0.500
7 Fe 0.125 0.875 0.250
8 Fe 0.875 0.125 0.750


Record 16
Material: LaVFe3
Method: DFT, PBE
State: relaxed

Properties
calculated volume	18.2	Å³/atom
ΔH_f (0 K)	1775	meV/atom
total magnetization	0.81	μB per cell
symmetry	No. 221

Unit cell a=4.497 b=4.497 c=4.497 alpha=90.00 beta=90.00 gamma=90.00
Fractional positions:
1 La 0.000 0.000 0.000
2 V 0.500 0.500 0.500
3 Fe 0.000 0.000 0.500
4 Fe 0.000 0.500 0.000
5 Fe 0.500 0.000 0.000


Record 17
Material: La2VFe2
Method: DFT, PBE
State: relaxed

Properties
calculated volume	20.8	Å³/atom
ΔH_f (0 K)	300	meV/atom
total magnetization	1.88	μB per cell
symmetry	No. 127

Unit cell a=6.585 b=6.585 c=4.801 alpha=90.00 beta=90.00 gamma=90.00
Fractional positions:
1 La 0.178 0.322 0.000
2 La 0.322 0.822 0.000
3 La 0.678 0.178 0.000
4 La 0.822 0.678 0.000
5 V 0.000 0.000 0.500
6 V 0.500 0.500 0.500
7 Fe 0.128 0.628 0.500
8 Fe 0.372 0.128 0.500
9 Fe 0.628 0.872 0.500
10 Fe 0.872 0.372 0.500


Record 18
Material: LaVFe3
Method: DFT, PBE
State: relaxed

Properties
calculated volume	17.9	Å³/atom
ΔH_f (0 K)	550	meV/atom
total magnetization	4.28	μB per cell
symmetry	No. 221

Unit cell a=4.475 b=4.475 c=4.475 alpha=90.00 beta=90.00 gamma=90.00
Fractional positions:
1 La 0.000 0.000 0.000
2 V 0.500 0.500 0.500
3 Fe 0.000 0.500 0.500
4 Fe 0.500 0.000 0.500
5 Fe 0.500 0.500 0.000


Record 19
Material: LaY2VFe
Method: DFT, PBE
State: relaxed

Properties
calculated volume	27.4	Å³/atom
ΔH_f (0 K)	652	meV/atom
total magnetization	0.29	μB per cell
symmetry	No. 123

Unit cell a=5.218 b=5.218 c=5.032 alpha=90.00 beta=90.00 gamma=90.00
Fractional positions:
1 La 0.000 0.000 0.000
2 Y 0.000 0.500 0.500
3 Y 0.500 0.000 0.500
4 V 0.500 0.500 0.000
5 Fe 0.000 0.000 0.500


Record 20
Material: LaVZnFe2
Method: DFT, PBE
State: relaxed

Properties
calculated volume	21.1	Å³/atom
ΔH_f (0 K)	1832	meV/atom
total magnetization	3.12	μB per cell
symmetry	No. 123

Unit cell a=4.468 b=4.468 c=5.294 alpha=90.00 beta=90.00 gamma=90.00
Fractional positions:
1 La 0.000 0.000 0.000
2 V 0.500 0.500 0.500
3 Zn 0.000 0.000 0.500
4 Fe 0.000 0.500 0.000
5 Fe 0.500 0.000 0.000


Record 21
Material: LaFeW
Method: DFT, PBE
State: relaxed

Properties
calculated volume	20.0	Å³/atom
ΔH_f (0 K)	1891	meV/atom
total magnetization	0.23	μB per cell
symmetry	No. 216

Unit cell a=4.392 b=4.392 c=4.392 alpha=60.00 beta=60.00 gamma=60.00
Fractional positions:
1 La 0.000 0.000 0.000
2 Fe 0.750 0.750 0.750
3 W 0.250 0.250 0.250


Record 22
Material: La2FeW
Method: DFT, PBE
State: relaxed

Properties
calculated volume	22.6	Å³/atom
ΔH_f (0 K)	781	meV/atom
total magnetization	3.38	μB per cell
symmetry	No. 119

Unit cell a=5.576 b=5.576 c=5.576 alpha=133.17 beta=133.17 gamma=68.38
Fractional positions:
1 La 0.000 0.000 0.000
2 La 0.750 0.250 0.500
3 Fe 0.500 0.500 0.000
4 W 0.250 0.750 0.500


Record 23
Material: La2FeW
Method: DFT, PBE
State: relaxed

Properties
calculated volume	21.5	Å³/atom
ΔH_f (0 K)	819	meV/atom
total magnetization	1.74	μB per cell
symmetry	No. 71

Unit cell a=5.596 b=5.596 c=5.596 alpha=143.35 beta=123.26 gamma=69.47
Fractional positions:
1 La 0.228 0.228 0.000
2 La 0.772 0.772 0.000
3 Fe 0.000 0.500 0.500
4 W 0.500 0.000 0.500


Record 24
Material: La2FeW
Method: DFT, PBE
State: relaxed

Properties
calculated volume	23.7	Å³/atom
ΔH_f (0 K)	692	meV/atom
total magnetization	3.75	μB per cell
symmetry	No. 123

Unit cell a=3.593 b=3.593 c=7.334 alpha=90.00 beta=90.00 gamma=90.00
Fractional positions:
1 La 0.000 0.000 0.246
2 La 0.000 0.000 0.754
3 Fe 0.500 0.500 0.000
4 W 0.500 0.500 0.500


Record 25
Material: La2FeW
Method: DFT, PBE
State: relaxed

Properties
calculated volume	24.4	Å³/atom
ΔH_f (0 K)	379	meV/atom
total magnetization	0.70	μB per cell
symmetry	No. 44

Unit cell a=6.432 b=6.432 c=6.432 alpha=148.43 beta=135.09 gamma=55.93
Fractional positions:
1 La 0.000 0.000 0.000
2 La 0.712 0.212 0.500
3 Fe 0.430 0.430 0.000
4 W 0.299 0.799 0.500


Record 26
Material: La2FeW
Method: DFT, PBE
State: relaxed

Properties
calculated volume	23.9	Å³/atom
ΔH_f (0 K)	721	meV/atom
total magnetization	4.04	μB per cell
symmetry	No. 225

Unit cell a=5.131 b=5.131 c=5.131 alpha=60.00 beta=60.00 gamma=60.00
Fractional positions:
1 La 0.250 0.250 0.250
2 La 0.750 0.750 0.750
3 Fe 0.000 0.000 0.000
4 W 0.500 0.500 0.500


Record 27
Material: La2FeW
Method: DFT, PBE
State: relaxed

Properties
calculated volume	22.6	Å³/atom
ΔH_f (0 K)	1007	meV/atom
total magnetization	0.01	μB per cell
symmetry	No. 122

Unit cell a=6.299 b=6.299 c=6.299 alpha=102.00 beta=102.00 gamma=125.76
Fractional positions:
1 La 0.075 0.125 0.450
2 La 0.375 0.925 0.050
3 La 0.675 0.625 0.550
4 La 0.875 0.325 0.950
5 Fe 0.000 0.000 0.000
6 Fe 0.750 0.250 0.500
7 W 0.250 0.750 0.500
8 W 0.500 0.500 0.000